# 1
Compound: CaNiGePd
Source: Alexandria via LeMat-Bulk
Functional: PBE
Structure: relaxed

Values from the calculation:
Space-group type: Amm2
Energy of formation from the pure elements in meV/atom: -381
Calculated volume in Å³/atom: 18.20

a b c (Å): 4.2169 3.6157 5.1055
angles (deg): 110.74 90.00 90.00
Sites, in units of the cell vectors:
Ca 0.5000 0.2275 0.4549
Pd 0.0000 0.9057 0.8113
Ge 0.0000 0.5973 0.1947
Ni 0.5000 0.4973 0.9947


# 2
Compound: Ca2NiGe4Pd3
Source: Alexandria via LeMat-Bulk
Functional: PBE
Structure: relaxed

Values from the calculation:
Space-group type: P-4m2
Energy of formation from the pure elements in meV/atom: -626
Calculated volume in Å³/atom: 18.78

a b c (Å): 4.2391 4.2391 10.4528
angles (deg): 90.00 90.00 90.00
Sites, in units of the cell vectors:
Ge 0.5000 0.5000 0.0000
Pd 0.5000 0.0000 0.8605
Pd 0.0000 0.0000 0.5000
Pd 0.0000 0.5000 0.1395
Ni 0.5000 0.5000 0.5000
Ca 0.0000 0.5000 0.7467
Ge 0.0000 0.5000 0.3787
Ca 0.5000 0.0000 0.2533
Ge 0.0000 0.0000 0.0000
Ge 0.5000 0.0000 0.6213